Entry from Alexandria via LeMat-Bulk: a geometry-optimized Ba2FeCl2O2 structure (PBE+U).

Lattice parameters (Å, degrees): 4.2604 4.2604 16.3285 90.00 90.00 90.00
Closest atoms and distances in Å follow each position.
Space group I4/mmm (No. 139)
Inequivalent atoms, fractional coordinates:
Ba 0.0000 0.0000 0.1100 (multiplicity 4)  4 O 2.79
Fe 0.0000 0.0000 0.5000 (multiplicity 2)  4 O 2.13
Cl 0.0000 0.0000 0.3216 (multiplicity 4)  1 Fe 2.91, 4 Ba 3.21
O 0.0000 0.5000 0.0000 (multiplicity 4)  2 Fe 2.13

- Magnetization: 4.000 μB per formula unit
- Total energy: -75.9 eV/cell